# 1
Below is crystalline SmEr5Ru6 at its relaxed geometry, with properties calculated at the GGA-PBE level.

Cell lengths 4.7914, 6.7824, 14.3241 Å; angles 90.00, 90.00, 90.00 degrees
Last column: nearest neighbours and their distance in Å.
Space group Immm (No. 71)
One atom of each set of equivalent atoms:
Sm  0.0000  0.0000  0.0000 x2  8 Ru 2.95
Er  0.0000  0.0000  0.3335 x4  8 Ru 2.92-2.93
Er  0.0000  0.5000  0.0000 x2  8 Ru 2.92-2.94
Er  0.0000  0.5000  0.3315 x4  8 Ru 2.89-2.96
Ru  0.0000  0.2471  0.5000 x4  6 Er 2.92-2.96, 2 Sm 2.95
Ru  0.0000  0.2512  0.1678 x8  7 Er 2.89-2.94, 1 Sm 2.95

Results
**Density of states at the Fermi level**: 25.4 states/eV per cell
**Formation energy from the elements**: -0.34 eV per atom
**Volume**: 19.40 A^3/atom
**Uncorrected energy**: -7.275 eV per atom

# 2
Below is crystalline SmEr3Ru4 at its relaxed geometry, with properties calculated at the GGA-PBE level.

Cell lengths 4.7978, 4.7978, 23.5282 Å; angles 90.00, 90.00, 120.00 degrees
Last column: nearest neighbours and their distance in Å.
Space group R-3m (No. 166, hexagonal axes)
One atom of each set of equivalent atoms:
Sm  0.0000  0.0000  0.0000 x3  8 Ru 2.95-2.96
Er  0.0000  0.0000  0.2485 x6  8 Ru 2.88-3.00
Er  0.0000  0.0000  0.5000 x3  8 Ru 2.92-2.93
Ru  0.0000  0.0000  0.1259 x6  7 Er 2.88-2.93, 1 Sm 2.96
Ru  0.0000  0.0000  0.3759 x6  5 Er 2.92-3.00, 3 Sm 2.95

Results
**Density of states at the Fermi level**: 23.9 states/eV per cell
**Formation energy from the elements**: -0.32 eV per atom
**Volume**: 19.54 A^3/atom
**Uncorrected energy**: -7.260 eV per atom

# 3
Below is crystalline SmEr3Ru at its relaxed geometry, with properties calculated at the GGA-PBE level.

Cell lengths 13.5972, 3.7862, 10.8375 Å; angles 90.00, 90.80, 90.00 degrees
Last column: nearest neighbours and their distance in Å.
Space group C2/m (No. 12)
One atom of each set of equivalent atoms:
Sm  0.1737  0.0000  0.4093 x4  4 Sm 3.41-3.79, 8 Er 3.43-3.82
Er  0.0583  0.0000  0.1260 x4  4 Ru 2.83-2.95, 1 Er 3.14
Er  0.0653  0.5000  0.6546 x4  1 Ru 2.92
Er  0.2246  0.0000  0.8599 x4  2 Ru 2.71
Ru  0.0922  0.5000  0.9227 x4  7 Er 2.71-2.95

Results
**Density of states at the Fermi level**: 18.9 states/eV per cell
**Energy above the lowest structure with this stoichiometry**: 15 meV/atom
**Formation energy from the elements**: -0.19 eV per atom
**Volume**: 27.89 A^3/atom
**Uncorrected energy**: -5.729 eV per atom

# 4
Below is crystalline Sm3Er2Ru2 at its relaxed geometry, with properties calculated at the GGA-PBE level.

Cell lengths 3.9259, 6.3374, 8.4991 Å; angles 68.16, 89.95, 71.98 degrees
Last column: nearest neighbours and their distance in Å.
Space group P-1 (No. 2)
One atom of each set of equivalent atoms:
Sm  0.0000  0.0000  0.0000 x1  4 Ru 2.99-3.00
Sm  0.1205  0.7603  0.4296 x2  3 Ru 2.94-3.00
Er  0.3308  0.3380  0.1834 x2  2 Ru 2.76
Ru  0.3175  0.3647  0.7800 x2  2 Er 2.76, 5 Sm 2.94-3.00

Results
**Density of states at the Fermi level**: 5.3 states/eV per cell
**Formation energy from the elements**: -0.28 eV per atom
**Volume**: 26.44 A^3/atom
**Uncorrected energy**: -6.256 eV per atom

# 5
Below is crystalline SmErRu at its relaxed geometry, with properties calculated at the GGA-PBE level.

Cell lengths 6.7947, 6.7947, 6.7947 Å; angles 90.00, 90.00, 90.00 degrees
Last column: nearest neighbours and their distance in Å.
Space group F-43m (No. 216)
One atom of each set of equivalent atoms:
Sm  0.0000  0.0000  0.0000 x4  4 Ru 2.94
Er  0.0000  0.0000  0.5000 x4  4 Ru 2.94
Ru  0.2500  0.2500  0.7500 x4  4 Sm 2.94, 4 Er 2.94

Results
**Density of states at the Fermi level**: 8.1 states/eV per cell
**Energy above the lowest structure with this stoichiometry**: 63 meV/atom
**Formation energy from the elements**: -0.25 eV per atom
**Volume**: 26.14 A^3/atom
**Uncorrected energy**: -6.435 eV per atom

# 6
Below is crystalline SmEr3Ru at its relaxed geometry, with properties calculated at the GGA-PBE level.

Cell lengths 5.3569, 5.3569, 5.3569 Å; angles 90.00, 90.00, 90.00 degrees
Last column: nearest neighbours and their distance in Å.
Space group Pm-3m (No. 221)
One atom of each set of equivalent atoms:
Sm  0.0000  0.0000  0.0000 x1  12 Er 3.79
Er  0.0000  0.5000  0.5000 x3  2 Ru 2.68
Ru  0.5000  0.5000  0.5000 x1  6 Er 2.68

Results
**Density of states at the Fermi level**: 7.7 states/eV per cell
**Energy above the lowest structure with this stoichiometry**: 110 meV/atom
**Formation energy from the elements**: -0.10 eV per atom
**Volume**: 30.74 A^3/atom
**Uncorrected energy**: -5.634 eV per atom

# 7
Below is crystalline SmEr3Ru8 at its relaxed geometry, with properties calculated at the GGA-PBE level.

Cell lengths 5.3206, 5.3206, 26.2444 Å; angles 90.00, 90.00, 120.00 degrees
Last column: nearest neighbours and their distance in Å.
Space group R3m (No. 160, hexagonal axes)
One atom of each set of equivalent atoms:
Sm  0.0000  0.0000  0.0000 x3  12 Ru 3.12-3.16, 4 Er 3.26-3.29
Er  0.0000  0.0000  0.3751 x3  12 Ru 3.12-3.17, 3 Sm 3.26, 1 Er 3.27
Er  0.0000  0.0000  0.4996 x3  12 Ru 3.11-3.12, 4 Er 3.26-3.27
Er  0.0000  0.0000  0.8748 x3  12 Ru 3.11-3.12, 3 Er 3.26, 1 Sm 3.29
Ru  0.0000  0.0000  0.1872 x3  6 Ru 2.65-2.66
Ru  0.0000  0.0000  0.6874 x3  6 Ru 2.69
Ru  0.0026  0.5013  0.4384 x9  6 Ru 2.64-2.69
Ru  0.1675  0.3350  0.2696 x9  6 Ru 2.65-2.69

Results
**Density of states at the Fermi level**: 44.9 states/eV per cell
**Formation energy from the elements**: -0.29 eV per atom
**Volume**: 17.87 A^3/atom
**Uncorrected energy**: -8.013 eV per atom

# 8
Below is crystalline Sm3ErRu8 at its relaxed geometry, with properties calculated at the GGA-PBE level.

Cell lengths 5.3630, 5.3630, 26.4471 Å; angles 90.00, 90.00, 120.00 degrees
Last column: nearest neighbours and their distance in Å.
Space group R3m (No. 160, hexagonal axes)
One atom of each set of equivalent atoms:
Sm  0.0000  0.0000  0.0000 x3  12 Ru 3.13-3.16, 3 Er 3.29, 1 Sm 3.31
Sm  0.0000  0.0000  0.1250 x3  12 Ru 3.13-3.18, 4 Sm 3.29-3.31
Sm  0.0000  0.0000  0.5000 x3  12 Ru 3.15-3.19, 3 Sm 3.29, 1 Er 3.30
Er  0.0000  0.0000  0.6246 x3  12 Ru 3.13-3.14, 4 Sm 3.29-3.30
Ru  0.0000  0.0000  0.3087 x3  6 Ru 2.63-2.73
Ru  0.0000  0.0000  0.8090 x3  6 Ru 2.66-2.76
Ru  0.0034  0.5017  0.0608 x9  6 Ru 2.65-2.73
Ru  0.0075  0.5038  0.5629 x9  6 Ru 2.62-2.76

Results
**Density of states at the Fermi level**: 45.4 states/eV per cell
**Formation energy from the elements**: -0.23 eV per atom
**Volume**: 18.30 A^3/atom
**Uncorrected energy**: -7.973 eV per atom

Question: Look up the formation energy from the elements of the seventh one.
Answer: -0.29 eV per atom

Question: Among the records above, which one has the lowest uncorrected energy?
Answer: SmEr3Ru8